# 1
Density functional theory data (PBE) for a relaxed La2Au2Se crystal.

Unit cell a=8.167 b=8.167 c=4.252 alpha=90.00 beta=90.00 gamma=90.00
Sites, in units of the cell vectors:
La 0.176 0.324 0.000
La 0.324 0.824 0.000
La 0.676 0.176 0.000
La 0.824 0.676 0.000
Au 0.124 0.624 0.500
Au 0.376 0.124 0.500
Au 0.624 0.876 0.500
Au 0.876 0.376 0.500
Se 0.000 0.000 0.000
Se 0.500 0.500 0.000

Properties
Symmetry: P4/mbm (127)
ΔE_f (raw): -5.331 eV per formula unit
Energy above the most stable polymorph in this dataset: 0 meV/atom
Crystal system: tetragonal

# 2
Density functional theory data (PBE) for a relaxed CrB3Au crystal.

Unit cell a=3.930 b=3.930 c=3.930 alpha=90.00 beta=90.00 gamma=90.00
Sites, in units of the cell vectors:
Cr 0.000 0.000 0.000
B 0.000 0.000 0.500
B 0.000 0.500 0.000
B 0.500 0.000 0.000
Au 0.500 0.500 0.500

Properties
Symmetry: Pm-3m (221)
Energy above the most stable polymorph in this dataset: 0 meV/atom
E_form: 1.320 eV per atom
Crystal system: cubic

# 3
Density functional theory data (PBE) for a relaxed YWN3 crystal.

Unit cell a=3.595 b=6.014 c=6.135 alpha=90.00 beta=90.00 gamma=90.00
Sites, in units of the cell vectors:
Y 0.000 0.153 0.000
Y 0.000 0.847 0.500
W 0.500 0.309 0.470
W 0.500 0.691 0.970
N 0.000 0.228 0.372
N 0.000 0.772 0.872
N 0.500 0.107 0.703
N 0.500 0.415 0.094
N 0.500 0.585 0.594
N 0.500 0.893 0.203

Properties
Symmetry: Pmc2_1 (26)
ΔE_f (raw): -4.803 eV per formula unit
Crystal system: orthorhombic